Material: Ac2NdBi
Method: DFT, PBE-GGA
State: relaxed

The structure belongs to space group R-3m (No. 166, hexagonal axes); the cell edges are 4.2527, 4.2527 and 35.2183 Å and the angles 90.00°, 90.00° and 120.00°. The asymmetric unit holds Ac at (0.0000, 0.0000, 0.1035), Nd at (0.0000, 0.0000, 0.0000) and Bi at (0.0000, 0.0000, 0.5000).

For the volume, the calculation gives 552 Å³/cell. The calculation puts the calculated density at 7290 kg/m³. The calculation puts the formation energy from the elements at 56 meV/atom.

Material: AcNd8Bi6
Method: DFT, PBE-GGA
State: relaxed

The structure belongs to space group R-3 (No. 148, hexagonal axes); the cell edges are 8.5298, 8.5298 and 26.0755 Å and the angles 90.00°, 90.00° and 120.00°. The asymmetric unit holds Ac at (0.0000, 0.0000, 0.0000), Nd at (0.0000, 0.0000, 0.3334), Nd at (0.0024, 0.3254, 0.1227) and Bi at (0.0016, 0.3449, 0.9308).

For the volume, the calculation gives 1643 Å³/cell. The calculation puts the calculated density at 7989 kg/m³. The calculation puts the formation energy from the elements at -610 meV/atom.

What is the calculated density in the first record?
7290 kg/m³

Among the records above, which one has the lowest volume?
Ac2NdBi

volume of number 2 (AcNd8Bi6)?
1643 Å³/cell

Which of these has the highest calculated density?
AcNd8Bi6